PmPuIrOs after structural relaxation, computed with PBE-GGA.

Cell: 4.8900 4.8900 4.8900 Å, 60.00 60.00 60.00°
Sites, in units of the cell vectors:
Ir 0.0000 0.0000 0.0000
Os 0.5000 0.5000 0.5000
Pm 0.2500 0.2500 0.2500
Pu 0.7500 0.7500 0.7500

## Properties
Magnetization: 4.12 μB/cell
Energy of formation: -0.151 eV/atom
Calculated volume: 82.7 Å³/cell

RbHgPbAu after structural relaxation, computed with PBE-GGA.

Cell: 5.5206 5.5206 5.5206 Å, 60.00 60.00 60.00°
Sites, in units of the cell vectors:
Au 0.0000 0.0000 0.0000
Pb 0.7500 0.7500 0.7500
Rb 0.2500 0.2500 0.2500
Hg 0.5000 0.5000 0.5000

## Properties
Magnetization: 0.00 μB/cell
Energy of formation: -0.032 eV/atom
Calculated volume: 119.0 Å³/cell
Offset from the most stable computed form: 118 meV per atom

NaPu2F6 after structural relaxation, computed with PBE-GGA.

Cell: 4.0538 4.0538 9.1077 Å, 102.86 102.86 90.00°
Sites, in units of the cell vectors:
F 0.9149 0.4149 0.8297
F 0.0851 0.5851 0.1703
Pu 0.6584 0.6584 0.3167
Na 0.0000 0.0000 0.0000
F 0.4149 0.9149 0.8297
F 0.7500 0.2500 0.5000
F 0.5851 0.0851 0.1703
F 0.2500 0.7500 0.5000
Pu 0.3416 0.3416 0.6833

## Properties
ΔE_f (raw): -3319 meV/atom
Magnetization: 11.00 μB/cell
Calculated volume: 142.1 Å³/cell
Offset from the most stable computed form: 0 meV per atom

AcTbRh2 after structural relaxation, computed with PBE-GGA.

Cell: 5.0657 5.0657 5.0657 Å, 60.00 60.00 60.00°
Sites, in units of the cell vectors:
Tb 0.0000 0.0000 0.0000
Rh 0.7500 0.7500 0.7500
Ac 0.5000 0.5000 0.5000
Rh 0.2500 0.2500 0.2500

## Properties
Magnetization: 0.00 μB/cell
Energy of formation: -0.628 eV/atom
Calculated volume: 91.9 Å³/cell
Offset from the most stable computed form: 82 meV per atom

HgRh2Pb after structural relaxation, computed with PBE-GGA.

Cell: 8.3545 8.3545 8.3545 Å, 22.82 22.82 22.82°
Sites, in units of the cell vectors:
Pb 0.0000 0.0000 0.0000
Rh 0.2520 0.2520 0.2520
Rh 0.7480 0.7480 0.7480
Hg 0.5000 0.5000 0.5000

## Properties
Magnetization: 0.00 μB/cell
Energy of formation: 0.190 eV/atom
Calculated volume: 76.9 Å³/cell

NdErAlGe after structural relaxation, computed with PBE-GGA.

Cell: 4.4427 4.0651 5.9372 Å, 90.00 111.97 90.00°
Sites, in units of the cell vectors:
Al 0.4242 0.0000 0.8485
Ge 0.5749 0.5000 0.1498
Er 0.8597 0.5000 0.7194
Nd 0.1412 0.0000 0.2824

## Properties
Magnetization: 0.00 μB/cell
Energy of formation: -0.665 eV/atom
Calculated volume: 99.4 Å³/cell

Si3MoPt after structural relaxation, computed with PBE-GGA.

Cell: 4.6844 4.6844 4.6844 Å, 90.00 90.00 90.00°
Sites, in units of the cell vectors:
Mo 0.5000 0.5000 0.5000
Si 0.0000 0.5000 0.0000
Si 0.5000 0.0000 0.0000
Si 0.0000 0.0000 0.5000
Pt 0.0000 0.0000 0.0000

## Properties
ΔE_f (raw): 1079 meV/atom
Magnetization: 3.82 μB/cell
Calculated volume: 102.8 Å³/cell
Offset from the most stable computed form: 262 meV per atom

Rb2ScBeO4 after structural relaxation, computed with PBE-GGA.

Cell: 4.8721 6.4146 11.3299 Å, 85.32 77.58 67.68°
Sites, in units of the cell vectors:
O 0.1686 0.3353 0.4164
Rb 0.1756 0.0000 0.6489
O 0.2540 0.1647 0.9164
Rb 0.9256 0.5000 0.1489
Rb 0.5744 0.5000 0.8511
O 0.5814 0.1647 0.0836
Sc 0.7500 0.5000 0.5000
Be 0.2500 0.5000 0.5000
Be 0.5000 0.0000 0.0000
Rb 0.8244 0.0000 0.3511
Sc 0.0000 0.0000 0.0000
O 0.4149 0.6647 0.4164
O 0.8296 0.8353 0.9164
O 0.4960 0.3353 0.5836
O 0.3351 0.8353 0.0836
O 0.9204 0.6647 0.5836

## Properties
ΔE_f (raw): -1991 meV/atom
Magnetization: 2.05 μB/cell
Calculated volume: 319.9 Å³/cell

Sb5Pt after structural relaxation, computed with PBE-GGA.

Cell: 6.8600 6.8600 7.2136 Å, 68.78 68.78 32.36°
Sites, in units of the cell vectors:
Sb 0.3760 0.3760 0.2677
Sb 0.6534 0.6534 0.6600
Sb 0.0191 0.0191 0.3810
Sb 0.6768 0.6768 0.0425
Sb 0.4119 0.4119 0.8355
Pt 0.0295 0.0295 0.9799

## Properties
ΔE_f (raw): 10 meV/atom
Magnetization: 0.00 μB/cell
Calculated volume: 168.3 Å³/cell
Offset from the most stable computed form: 122 meV per atom

LiSm2Ga6 after structural relaxation, computed with PBE-GGA.

Cell: 4.3949 6.9028 7.8990 Å, 115.91 106.15 90.00°
Sites, in units of the cell vectors:
Ga 0.3166 0.5078 0.6331
Ga 0.5000 0.1994 0.0000
Ga 0.3166 0.1253 0.6331
Sm 0.8742 0.8742 0.7484
Ga 0.6834 0.8747 0.3669
Ga 0.6834 0.4922 0.3669
Li 0.0000 0.5000 0.0000
Sm 0.1258 0.1258 0.2516
Ga 0.5000 0.8006 0.0000

## Properties
Magnetization: 0.00 μB/cell
Energy of formation: -0.345 eV/atom
Calculated volume: 205.0 Å³/cell

TiSCl2F after structural relaxation, computed with PBE-GGA.

Cell: 4.7066 4.7066 4.7094 Å, 90.00 90.00 90.00°
Sites, in units of the cell vectors:
F 0.5000 0.5000 0.5000
S 0.0000 0.0000 0.5000
Cl 0.0000 0.5000 0.0000
Cl 0.5000 0.0000 0.0000
Ti 0.0000 0.0000 0.0000

## Properties
ΔE_f (raw): -862 meV/atom
Magnetization: 1.01 μB/cell
Calculated volume: 104.3 Å³/cell
Offset from the most stable computed form: 0 meV per atom

Lu2PbN after structural relaxation, computed with PBE-GGA.

Cell: 3.4769 3.4769 7.8626 Å, 77.23 77.23 60.00°
Sites, in units of the cell vectors:
Pb 0.5000 0.5000 0.5000
N 0.0000 0.0000 0.0000
Lu 0.7218 0.7218 0.8347
Lu 0.2782 0.2782 0.1653

## Properties
ΔE_f (raw): -1109 meV/atom
Magnetization: 0.00 μB/cell
Calculated volume: 79.6 Å³/cell

Nb2Cu2Os after structural relaxation, computed with PBE-GGA.

Cell: 6.6928 6.6928 3.3359 Å, 90.00 90.00 90.00°
Sites, in units of the cell vectors:
Os 0.0000 0.0000 0.0000
Nb 0.3220 0.1780 0.5000
Nb 0.1780 0.6780 0.5000
Cu 0.1240 0.3760 0.0000
Os 0.5000 0.5000 0.0000
Nb 0.6780 0.8220 0.5000
Cu 0.3760 0.8760 0.0000
Nb 0.8220 0.3220 0.5000
Cu 0.6240 0.1240 0.0000
Cu 0.8760 0.6240 0.0000

## Properties
Magnetization: 0.00 μB/cell
Energy of formation: 0.100 eV/atom
Calculated volume: 149.4 Å³/cell

RbAlGe after structural relaxation, computed with PBE-GGA.

Cell: 4.3249 4.3249 11.7362 Å, 90.00 90.00 120.00°
Sites, in units of the cell vectors:
Ge 0.6667 0.3333 0.2500
Al 0.3333 0.6667 0.2500
Rb 0.0000 0.0000 0.0000
Al 0.6667 0.3333 0.7500
Rb 0.0000 0.0000 0.5000
Ge 0.3333 0.6667 0.7500

## Properties
Magnetization: 0.00 μB/cell
Energy of formation: -0.086 eV/atom
Calculated volume: 190.1 Å³/cell

HgGe2I after structural relaxation, computed with PBE-GGA.

Cell: 5.2001 5.2001 5.2001 Å, 60.00 60.00 60.00°
Sites, in units of the cell vectors:
Ge 0.7500 0.7500 0.7500
I 0.0000 0.0000 0.0000
Ge 0.2500 0.2500 0.2500
Hg 0.5000 0.5000 0.5000

## Properties
ΔE_f (raw): 483 meV/atom
Magnetization: 0.00 μB/cell
Calculated volume: 99.4 Å³/cell
Offset from the most stable computed form: 15 meV per atom

Er3TlGa after structural relaxation, computed with PBE-GGA.

Cell: 6.5704 11.0953 9.0424 Å, 127.54 90.00 90.00°
Sites, in units of the cell vectors:
Ga 0.7500 0.0892 0.7327
Ga 0.2500 0.4108 0.7673
Er 0.5074 0.3006 0.0981
Tl 0.2499 0.5067 0.4811
Er 0.2497 0.6098 0.1702
Er 0.0074 0.1994 0.4019
Tl 0.2501 0.0067 0.9811
Er 0.0074 0.6996 0.9020
Er 0.4926 0.6994 0.9019
Ga 0.2500 0.9108 0.2673
Ga 0.7500 0.5892 0.2327
Tl 0.7499 0.9933 0.0189
Er 0.9926 0.8006 0.5981
Er 0.7503 0.3902 0.8298
Er 0.2503 0.1098 0.6702
Tl 0.7501 0.4933 0.5189
Er 0.4926 0.1996 0.4020
Er 0.7497 0.8902 0.3298
Er 0.9926 0.3004 0.0980
Er 0.5074 0.8004 0.5980

## Properties
Magnetization: 0.00 μB/cell
Energy of formation: -0.367 eV/atom
Calculated volume: 522.7 Å³/cell

BaReRh2 after structural relaxation, computed with PBE-GGA.

Cell: 9.9739 9.9739 9.9739 Å, 17.14 17.14 17.14°
Sites, in units of the cell vectors:
Ba 0.5000 0.5000 0.5000
Re 0.0000 0.0000 0.0000
Rh 0.2644 0.2644 0.2644
Rh 0.7356 0.7356 0.7356

## Properties
Magnetization: 0.00 μB/cell
Energy of formation: 0.642 eV/atom
Calculated volume: 75.2 Å³/cell
Offset from the most stable computed form: 471 meV per atom

KNdSI after structural relaxation, computed with PBE-GGA.

Cell: 4.2252 4.2255 8.6926 Å, 90.01 104.06 120.00°
Sites, in units of the cell vectors:
K 0.5013 0.1486 0.6652
S 0.3208 0.5583 0.8944
Nd 0.1066 0.9513 0.0730
I 0.9492 0.3726 0.3370

## Properties
ΔE_f (raw): -1438 meV/atom
Magnetization: 0.00 μB/cell
Calculated volume: 129.0 Å³/cell

Pr3Dy4Sn4 after structural relaxation, computed with PBE-GGA.

Cell: 4.3203 9.3758 9.9595 Å, 118.08 102.53 90.00°
Sites, in units of the cell vectors:
Pr 0.0000 0.5000 0.0000
Pr 0.1077 0.1077 0.2154
Pr 0.8923 0.8923 0.7846
Dy 0.3284 0.5234 0.6568
Sn 0.5000 0.7864 0.0000
Sn 0.5000 0.2136 0.0000
Sn 0.7541 0.2541 0.5082
Dy 0.3284 0.1334 0.6568
Dy 0.6716 0.8666 0.3432
Sn 0.2459 0.7459 0.4918
Dy 0.6716 0.4766 0.3432

## Properties
Magnetization: 2.88 μB/cell
Energy of formation: -0.562 eV/atom
Calculated volume: 345.0 Å³/cell

ScTeIO2 after structural relaxation, computed with PBE-GGA.

Cell: 4.1789 4.1789 6.8245 Å, 90.00 90.00 90.00°
Sites, in units of the cell vectors:
Te 0.5000 0.5000 0.5000
O 0.0000 0.5000 0.0000
I 0.0000 0.0000 0.5000
Sc 0.0000 0.0000 0.0000
O 0.5000 0.0000 0.0000

## Properties
ΔE_f (raw): -992 meV/atom
Magnetization: 1.04 μB/cell
Calculated volume: 119.2 Å³/cell
Offset from the most stable computed form: 0 meV per atom